## Sr5SnO8 (GGA-PBE)

Data for a relaxed Sr5SnO8 crystal.

Unit cell a=6.5567 b=6.5567 c=6.5567 alpha=111.68 beta=111.68 gamma=105.13
Sites, in units of the cell vectors:
Sr (0.0000, 0.0000, 0.0000)
Sr (0.2510, 0.1245, 0.6212)
Sr (0.3702, 0.7490, 0.8735)
Sr (0.5033, 0.6298, 0.3788)
Sr (0.8755, 0.4967, 0.1265)
Sn (0.7500, 0.2500, 0.5000)
O (0.0715, 0.3600, 0.8345)
O (0.1411, 0.3935, 0.4048)
O (0.2637, 0.8589, 0.2525)
O (0.5255, 0.2370, 0.1655)
O (0.6065, 0.0112, 0.7475)
O (0.6400, 0.4745, 0.7115)
O (0.7630, 0.9285, 0.2885)
O (0.9888, 0.7363, 0.5952)

Properties
The calculation puts the calculated total energy at -5.86 eV/atom. The value obtained for the formation energy (no corrections) is -2144 meV per atom.

## SrSnO3 (GGA-PBE)

Data for a relaxed SrSnO3 crystal.

Unit cell a=3.5616 b=3.5616 c=12.5838 alpha=90.00 beta=90.00 gamma=106.63
Sites, in units of the cell vectors:
Sr (0.0000, 0.0000, 0.0000)
Sr (0.0000, 0.0000, 0.5000)
Sn (0.4524, 0.5476, 0.7500)
Sn (0.5476, 0.4524, 0.2500)
O (0.1793, 0.8207, 0.2500)
O (0.3753, 0.6247, 0.5985)
O (0.3753, 0.6247, 0.9015)
O (0.6247, 0.3753, 0.0985)
O (0.6247, 0.3753, 0.4015)
O (0.8207, 0.1793, 0.7500)

Properties
The calculation puts the calculated total energy at -6.14 eV/atom. The value obtained for the formation energy (no corrections) is -2028 meV per atom.

## Sr8Sn2O (GGA-PBE)

Data for a relaxed Sr8Sn2O crystal.

Unit cell a=11.5021 b=11.5021 c=8.5199 alpha=91.30 beta=91.30 gamma=24.14
Sites, in units of the cell vectors:
Sr (0.0031, 0.0031, 0.2642)
Sr (0.2311, 0.2311, 0.7035)
Sr (0.3766, 0.3766, 0.9772)
Sr (0.3960, 0.3960, 0.4842)
Sr (0.6040, 0.6040, 0.5158)
Sr (0.6234, 0.6234, 0.0228)
Sr (0.7689, 0.7689, 0.2965)
Sr (0.9969, 0.9969, 0.7358)
Sn (0.1630, 0.1630, 0.2922)
Sn (0.8370, 0.8370, 0.7078)
O (0.5000, 0.5000, 0.5000)

Properties
The calculation puts the calculated total energy at -3.07 eV/atom. The value obtained for the formation energy (no corrections) is -672 meV per atom.

## Sr4SnO6 (GGA-PBE)

Data for a relaxed Sr4SnO6 crystal.

Unit cell a=7.0586 b=7.0586 c=7.0586 alpha=90.42 beta=90.42 gamma=90.42
Sites, in units of the cell vectors:
Sr (0.1085, 0.7500, 0.3915)
Sr (0.2500, 0.2500, 0.2500)
Sr (0.2500, 0.6085, 0.8915)
Sr (0.3915, 0.1085, 0.7500)
Sr (0.6085, 0.8915, 0.2500)
Sr (0.7500, 0.3915, 0.1085)
Sr (0.7500, 0.7500, 0.7500)
Sr (0.8915, 0.2500, 0.6085)
Sn (0.0000, 0.0000, 0.0000)
Sn (0.5000, 0.5000, 0.5000)
O (0.0554, 0.9267, 0.7121)
O (0.0733, 0.2879, 0.9446)
O (0.2121, 0.4267, 0.5554)
O (0.2879, 0.9446, 0.0733)
O (0.4267, 0.5554, 0.2121)
O (0.4446, 0.7879, 0.5733)
O (0.5554, 0.2121, 0.4267)
O (0.5733, 0.4446, 0.7879)
O (0.7121, 0.0554, 0.9267)
O (0.7879, 0.5733, 0.4446)
O (0.9267, 0.7121, 0.0554)
O (0.9446, 0.0733, 0.2879)

Properties
The calculation puts the calculated total energy at -6.17 eV/atom. The value obtained for the formation energy (no corrections) is -2492 meV per atom.